# 1
# Th4TlOs (GGA-PBE, relaxed)
data_Th4TlOs
_cell_length_a 8.888
_cell_length_b 13.476
_cell_length_c 6.168
_cell_angle_alpha 90.00
_cell_angle_beta 110.17
_cell_angle_gamma 90.00
_symmetry_space_group_name_H-M 'C 1 2/c 1'
_symmetry_Int_Tables_number 15
_symmetry_space_group_name_Hall '-C 2yc'
loop_
_atom_site_label
_atom_site_fract_x
_atom_site_fract_y
_atom_site_fract_z
Th1 0.116 0.179 0.064
Th2 0.218 0.414 0.361
Tl1 0.000 0.385 0.750
Os1 0.000 0.000 0.250
# Crystal system: monoclinic
# Density of states at the Fermi level, states/eV per atom: 1.064
# Magnetization, μB per formula unit: 0.00
# Uncorrected energy, eV per atom: -7.37
# Energy of formation from the pure elements, eV per atom: -0.161
# Volume, A^3/atom: 28.89

=====

# 2
# Th4Tl5Os2 (GGA-PBE, relaxed)
data_Th4Tl5Os2
_cell_length_a 8.209
_cell_length_b 3.789
_cell_length_c 9.817
_cell_angle_alpha 90.00
_cell_angle_beta 93.23
_cell_angle_gamma 90.00
_symmetry_space_group_name_H-M 'P 1 2/m 1'
_symmetry_Int_Tables_number 10
_symmetry_space_group_name_Hall '-P 2y'
loop_
_atom_site_label
_atom_site_fract_x
_atom_site_fract_y
_atom_site_fract_z
Th1 0.188 0.000 0.339
Th2 0.204 0.000 0.933
Tl1 0.152 0.500 0.635
Tl2 0.463 0.500 0.164
Tl3 0.500 0.500 0.500
Os1 0.092 0.500 0.135
# Crystal system: monoclinic
# Density of states at the Fermi level, states/eV per atom: 0.807
# Magnetization, μB per formula unit: 0.00
# Uncorrected energy, eV per atom: -6.03
# Energy of formation from the pure elements, eV per atom: -0.214
# Volume, A^3/atom: 27.71

=====

# 3
# TmThTlOs (GGA-PBE, relaxed)
data_TmThTlOs
_cell_length_a 3.404
_cell_length_b 3.404
_cell_length_c 8.483
_cell_angle_alpha 90.00
_cell_angle_beta 90.00
_cell_angle_gamma 90.00
_symmetry_space_group_name_H-M 'P 4 m m'
_symmetry_Int_Tables_number 99
_symmetry_space_group_name_Hall 'P 4 -2'
loop_
_atom_site_label
_atom_site_fract_x
_atom_site_fract_y
_atom_site_fract_z
Tm1 0.000 0.000 0.000
Th1 0.000 0.000 0.411
Tl1 0.500 0.500 0.720
Os1 0.500 0.500 0.197
# Crystal system: tetragonal
# Density of states at the Fermi level, states/eV per atom: 0.402
# Magnetization, μB per formula unit: 0.00
# Uncorrected energy, eV per atom: -6.69
# Energy of formation from the pure elements, eV per atom: -0.323
# Volume, A^3/atom: 24.57

=====

# 4
# YThTlOs (GGA-PBE, relaxed)
data_YThTlOs
_cell_length_a 4.1209
_cell_length_b 4.1209
_cell_length_c 23.7187
_cell_angle_alpha 90.00
_cell_angle_beta 90.00
_cell_angle_gamma 120.00
_symmetry_space_group_name_H-M 'R 3 m'
_symmetry_Int_Tables_number 160
_symmetry_space_group_name_Hall 'R 3 -2"'
loop_
_atom_site_label
_atom_site_fract_x
_atom_site_fract_y
_atom_site_fract_z
Y1 0.0000 0.0000 0.0000
Th1 0.0000 0.0000 0.2084
Tl1 0.0000 0.0000 0.7666
Os1 0.0000 0.0000 0.6016
# Crystal system: trigonal
# Density of states at the Fermi level, states/eV per atom: 0.692
# Magnetization, μB per formula unit: 0.00
# Uncorrected energy, eV per atom: -7.06
# Energy of formation from the pure elements, eV per atom: -0.189
# Volume, A^3/atom: 29.07

=====

# 5
# TmThOs4 (GGA-PBE, relaxed)
data_TmThOs4
_cell_length_a 7.640
_cell_length_b 7.640
_cell_length_c 7.640
_cell_angle_alpha 90.00
_cell_angle_beta 90.00
_cell_angle_gamma 90.00
_symmetry_space_group_name_H-M 'F -4 3 m'
_symmetry_Int_Tables_number 216
_symmetry_space_group_name_Hall 'F -4 2 3'
loop_
_atom_site_label
_atom_site_fract_x
_atom_site_fract_y
_atom_site_fract_z
Tm1 0.000 0.000 0.000
Th1 0.250 0.250 0.750
Os1 0.125 0.125 0.375
# Crystal system: cubic
# Density of states at the Fermi level, states/eV per atom: 0.798
# Magnetization, μB per formula unit: 0.00
# Uncorrected energy, eV per atom: -9.74
# Energy of formation from the pure elements, eV per atom: -0.272
# Volume, A^3/atom: 18.58

=====

# 6
# Tm3ThOs (GGA-PBE, relaxed)
data_Tm3ThOs
_cell_length_a 11.656
_cell_length_b 8.634
_cell_length_c 7.883
_cell_angle_alpha 90.00
_cell_angle_beta 132.51
_cell_angle_gamma 90.00
_symmetry_space_group_name_H-M 'C 1 2/m 1'
_symmetry_Int_Tables_number 12
_symmetry_space_group_name_Hall '-C 2y'
loop_
_atom_site_label
_atom_site_fract_x
_atom_site_fract_y
_atom_site_fract_z
Tm1 0.052 0.000 0.257
Tm2 0.248 0.304 0.202
Th1 0.055 0.500 0.340
Os1 0.242 0.500 0.870
# Crystal system: monoclinic
# Density of states at the Fermi level, states/eV per atom: 1.234
# Magnetization, μB per formula unit: 0.00
# Uncorrected energy, eV per atom: -6.57
# Energy of formation from the pure elements, eV per atom: -0.160
# Volume, A^3/atom: 29.24

=====

# 7
# TmThOs2 (GGA-PBE, relaxed)
data_TmThOs2
_cell_length_a 6.944
_cell_length_b 6.944
_cell_length_c 6.944
_cell_angle_alpha 90.00
_cell_angle_beta 90.00
_cell_angle_gamma 90.00
_symmetry_space_group_name_H-M 'F m -3 m'
_symmetry_Int_Tables_number 225
_symmetry_space_group_name_Hall '-F 4 2 3'
loop_
_atom_site_label
_atom_site_fract_x
_atom_site_fract_y
_atom_site_fract_z
Tm1 0.000 0.000 0.000
Th1 0.000 0.000 0.500
Os1 0.250 0.250 0.250
# Crystal system: cubic
# Density of states at the Fermi level, states/eV per atom: 0.780
# Magnetization, μB per formula unit: 0.00
# Uncorrected energy, eV per atom: -8.80
# Energy of formation from the pure elements, eV per atom: -0.212
# Volume, A^3/atom: 20.93

=====

# 8
# TmTh5Os4 (GGA-PBE, relaxed)
data_TmTh5Os4
_cell_length_a 18.728
_cell_length_b 4.199
_cell_length_c 7.654
_cell_angle_alpha 90.00
_cell_angle_beta 114.06
_cell_angle_gamma 90.00
_symmetry_space_group_name_H-M 'C 1 2/m 1'
_symmetry_Int_Tables_number 12
_symmetry_space_group_name_Hall '-C 2y'
loop_
_atom_site_label
_atom_site_fract_x
_atom_site_fract_y
_atom_site_fract_z
Tm1 0.000 0.000 0.000
Th1 0.000 0.000 0.500
Th2 0.163 0.500 0.403
Th3 0.163 0.500 0.923
Os1 0.000 0.500 0.255
Os2 0.209 0.000 0.209
# Crystal system: monoclinic
# Density of states at the Fermi level, states/eV per atom: 0.622
# Magnetization, μB per formula unit: 0.00
# Uncorrected energy, eV per atom: -8.84
# Energy of formation from the pure elements, eV per atom: -0.188
# Volume, A^3/atom: 27.48

=====

# 9
# Tm4ThOs2 (GGA-PBE, relaxed)
data_Tm4ThOs2
_cell_length_a 7.752
_cell_length_b 6.217
_cell_length_c 7.915
_cell_angle_alpha 90.00
_cell_angle_beta 112.28
_cell_angle_gamma 90.00
_symmetry_space_group_name_H-M 'P 1 21/m 1'
_symmetry_Int_Tables_number 11
_symmetry_space_group_name_Hall '-P 2yb'
loop_
_atom_site_label
_atom_site_fract_x
_atom_site_fract_y
_atom_site_fract_z
Tm1 0.109 0.250 0.482
Tm2 0.165 0.750 0.246
Tm3 0.261 0.501 0.919
Th1 0.468 0.250 0.340
Os1 0.087 0.250 0.128
Os2 0.476 0.250 0.742
# Crystal system: monoclinic
# Density of states at the Fermi level, states/eV per atom: 1.000
# Magnetization, μB per formula unit: 0.00
# Uncorrected energy, eV per atom: -7.06
# Energy of formation from the pure elements, eV per atom: -0.232
# Volume, A^3/atom: 25.21

=====

# 10
# TmThOs2 (GGA-PBE, relaxed)
data_TmThOs2
_cell_length_a 4.900
_cell_length_b 4.900
_cell_length_c 3.481
_cell_angle_alpha 90.00
_cell_angle_beta 90.00
_cell_angle_gamma 90.00
_symmetry_space_group_name_H-M 'P 4/m m m'
_symmetry_Int_Tables_number 123
_symmetry_space_group_name_Hall '-P 4 2'
loop_
_atom_site_label
_atom_site_fract_x
_atom_site_fract_y
_atom_site_fract_z
Tm1 0.000 0.000 0.000
Th1 0.500 0.500 0.000
Os1 0.000 0.500 0.500
# Crystal system: tetragonal
# Density of states at the Fermi level, states/eV per atom: 0.402
# Magnetization, μB per formula unit: 0.00
# Uncorrected energy, eV per atom: -8.80
# Energy of formation from the pure elements, eV per atom: -0.214
# Volume, A^3/atom: 20.89

=====

# 11
# Tm3Th2Os2 (GGA-PBE, relaxed)
data_Tm3Th2Os2
_cell_length_a 12.103
_cell_length_b 3.929
_cell_length_c 8.317
_cell_angle_alpha 90.00
_cell_angle_beta 111.84
_cell_angle_gamma 90.00
_symmetry_space_group_name_H-M 'C 1 2/m 1'
_symmetry_Int_Tables_number 12
_symmetry_space_group_name_Hall '-C 2y'
loop_
_atom_site_label
_atom_site_fract_x
_atom_site_fract_y
_atom_site_fract_z
Tm1 0.000 0.000 0.000
Tm2 0.126 0.000 0.423
Th1 0.157 0.500 0.804
Os1 0.184 0.500 0.207
# Crystal system: monoclinic
# Density of states at the Fermi level, states/eV per atom: 1.068
# Magnetization, μB per formula unit: 0.00
# Uncorrected energy, eV per atom: -7.52
# Energy of formation from the pure elements, eV per atom: -0.279
# Volume, A^3/atom: 26.22